Sc2TcHg | PBEsol | relaxed

Summary:
D(E_F)	0.7325	states/eV per atom
SG	P4mm, No. 99
DFT formation energy	-0.069	eV per atom
E_tot	-6.330	eV per atom

Structure (extended XYZ):
```
4
Lattice="3.5804 0.0000 0.0000 0.0000 3.5804 0.0000 0.0000 0.0000 5.9096" Properties=species:S:1:pos:R:3 pbc="T T T"
Sc 0.0000 0.0000 0.0000
Sc 1.7902 1.7902 1.8007
Tc 0.0000 0.0000 2.7986
Hg 1.7902 1.7902 4.5530
```